# 1
The following is a PBE-GGA calculation of crystalline BeIn2Fe at its relaxed geometry, from the Alexandria database.

As for the uncorrected energy: -15.85 eV/cell. The calculation puts the energy of formation from the pure elements at 1.813 eV per formula unit.

The space group is P4/mmm (No. 123) and the conventional cell measures 4.250, 4.250 and 3.523 Å, with angles of 90.00, 90.00 and 90.00 degrees. The asymmetric unit holds Be at (0.000, 0.000, 0.000), In at (0.000, 0.500, 0.500) and Fe at (0.500, 0.500, 0.000).


# 2
The following is a PBE-GGA calculation of crystalline BeIn2Fe2 at its relaxed geometry, from the Alexandria database.

As for the uncorrected energy: -50.14 eV/cell. The calculation puts the energy of formation from the pure elements at 1.056 eV per formula unit.

The space group is P4/mbm (No. 127) and the conventional cell measures 5.932, 5.932 and 4.249 Å, with angles of 90.00, 90.00 and 90.00 degrees. The asymmetric unit holds Be at (0.000, 0.000, 0.000), In at (0.173, 0.327, 0.500) and Fe at (0.141, 0.641, 0.000).


# 3
The following is a PBE-GGA calculation of crystalline BeInFe at its relaxed geometry, from the Alexandria database.

The excess energy over the best structure of this formula in the dataset is 0 meV per atom. As for the uncorrected energy: -28.52 eV/cell. The calculation puts the energy of formation from the pure elements at 0.667 eV per formula unit.

The space group is I4mm (No. 107) and the conventional cell measures 2.955, 2.955 and 9.145 Å, with angles of 90.00, 90.00 and 90.00 degrees. The asymmetric unit holds Be at (0.000, 0.000, 0.000), In at (0.000, 0.000, 0.716) and Fe at (0.000, 0.000, 0.414).


# 4
The following is a PBE-GGA calculation of crystalline BeInFe2 at its relaxed geometry, from the Alexandria database.

The excess energy over the best structure of this formula in the dataset is 98 meV per atom. As for the uncorrected energy: -44.79 eV/cell. The calculation puts the energy of formation from the pure elements at 0.994 eV per formula unit.

The space group is Imm2 (No. 44) and the conventional cell measures 3.329, 4.055 and 7.814 Å, with angles of 90.00, 90.00 and 90.00 degrees. The asymmetric unit holds Be at (0.000, 0.000, 0.000), In at (0.000, 0.500, 0.245), Fe at (0.000, 0.000, 0.476) and Fe at (0.000, 0.500, 0.722).


# 5
The following is a PBE-GGA calculation of crystalline BeIn2Fe at its relaxed geometry, from the Alexandria database.

As for the uncorrected energy: -16.56 eV/cell. The calculation puts the energy of formation from the pure elements at 1.101 eV per formula unit.

The space group is Pm (No. 6) and the conventional cell measures 3.709, 3.682 and 5.195 Å, with angles of 90.00, 110.69 and 90.00 degrees. The asymmetric unit holds Be at (0.000, 0.000, 0.000), In at (0.291, 0.000, 0.580), In at (0.585, 0.500, 0.172) and Fe at (0.873, 0.500, 0.748).


# 6
The following is a PBE-GGA calculation of crystalline BeIn2Fe at its relaxed geometry, from the Alexandria database.

As for the uncorrected energy: -31.98 eV/cell. The calculation puts the energy of formation from the pure elements at 1.675 eV per formula unit.

The space group is I-4m2 (No. 119) and the conventional cell measures 3.886, 3.886 and 8.646 Å, with angles of 90.00, 90.00 and 90.00 degrees. The asymmetric unit holds Be at (0.000, 0.000, 0.000), In at (0.000, 0.000, 0.500), In at (0.000, 0.500, 0.250) and Fe at (0.000, 0.500, 0.750).


# 7
The following is a PBE-GGA calculation of crystalline BeIn2Fe at its relaxed geometry, from the Alexandria database.

As for the uncorrected energy: -15.94 eV/cell. The calculation puts the energy of formation from the pure elements at 1.729 eV per formula unit.

The space group is Pmmm (No. 47) and the conventional cell measures 3.323, 3.396 and 5.728 Å, with angles of 90.00, 90.00 and 90.00 degrees. The asymmetric unit holds Be at (0.000, 0.000, 0.000), In at (0.500, 0.500, 0.251) and Fe at (0.000, 0.000, 0.500).


# 8
The following is a PBE-GGA calculation of crystalline Be2InFe2 at its relaxed geometry, from the Alexandria database.

The excess energy over the best structure of this formula in the dataset is 0 meV per atom. As for the uncorrected energy: -53.36 eV/cell. The calculation puts the energy of formation from the pure elements at 0.437 eV per formula unit.

The space group is P4/mbm (No. 127) and the conventional cell measures 6.324, 6.324 and 2.868 Å, with angles of 90.00, 90.00 and 90.00 degrees. The asymmetric unit holds Be at (0.118, 0.382, 0.000), In at (0.000, 0.000, 0.000) and Fe at (0.164, 0.664, 0.500).